# Sc4Pb2C

Crystalline Sc4Pb2C at its relaxed geometry (PBE, the Alexandria database).

Total moment, μB per cell: 0.00
D(E_F), states/eV/f.u.: 1.32
E above lowest polymorph, eV per atom: 0.247
Calculated volume, A^3/atom: 23.01
Calculated total energy, eV/atom: -6.36
Energy of formation from the pure elements, eV/atom: -0.365

abc: 6.0649 6.4134 8.7327
angles: 90.00 108.51 90.00
Last column: nearest neighbours and their distance in Å.
Space group P2_1/m (No. 11)
One atom of each set of equivalent atoms:
Sc 0.1861 0.2500 0.0473  1 C 2.09
Sc 0.2548 0.0024 0.7217  1 C 2.07
Sc 0.2558 0.7500 0.3417  1 C 2.08
Pb 0.2451 0.2500 0.4110  8 Sc 3.08-3.30
Pb 0.3344 0.7500 0.0268  7 Sc 2.94-3.17
C 0.0939 0.2500 0.7959  4 Sc 2.07-2.09